# 1
First-principles (GGA-PBE) data for an optimized crystal structure of MgTe2, as listed in Alexandria via LeMat-Bulk.

Cell and atoms, written as POSCAR:
```
MgTe2
1.0
-1.649 -3.813 1.107
4.077 0.946 0.982
-1.869 2.392 5.454
Mg Te
1 2
direct
0.333 0.667 0.500
0.000 0.000 0.758
0.000 0.000 0.242
```

Summary:
Fermi-level density of states: 3.11 states/eV/f.u.
formation energy (no corrections): -394 meV/atom

# 2
First-principles (GGA-PBE) data for an optimized crystal structure of Mg5Te, as listed in Alexandria via LeMat-Bulk.

Cell and atoms, written as POSCAR:
```
Mg5Te
1.0
-4.408 -2.218 3.221
0.426 -1.331 -5.725
2.945 -4.137 1.180
Mg Te
5 1
direct
0.333 0.667 0.000
0.667 0.333 0.000
0.500 0.000 0.500
0.000 0.500 0.500
0.500 0.500 0.500
0.000 0.000 0.000
```

Summary:
ΔE to the lowest computed polymorph: 225 meV per atom
Fermi-level density of states: 4.10 states/eV/f.u.
formation energy (no corrections): 104 meV/atom

# 3
First-principles (GGA-PBE) data for an optimized crystal structure of Mg3Te, as listed in Alexandria via LeMat-Bulk.

Cell and atoms, written as POSCAR:
```
Mg3Te
1.0
-5.369 -0.041 2.351
0.909 -5.441 1.983
2.168 2.181 4.990
Mg Te
3 1
direct
0.500 0.000 0.000
0.000 0.500 0.000
0.000 0.000 0.500
0.000 0.000 0.000
```

Summary:
ΔE to the lowest computed polymorph: 773 meV per atom
Fermi-level density of states: 4.06 states/eV/f.u.
formation energy (no corrections): 565 meV/atom